Compound: PmH2Br4
Source: the Alexandria database
Functional: PBE
Structure: optimized geometry

Cell lengths 3.9409, 15.4740, 5.9581 Å; angles 90.00, 90.00, 90.00 degrees
Space group Cmmm (No. 65)
Asymmetric unit:
Pm 0.0000 0.0000 0.0000
H 0.0000 0.3953 0.5000
Br 0.0000 0.1081 0.5000
Br 0.0000 0.3678 0.0000

Compound: DyYH
Source: the Alexandria database
Functional: PBE
Structure: optimized geometry

Cell lengths 3.3488, 3.3488, 12.1572 Å; angles 90.00, 90.00, 90.00 degrees
Space group I4mm (No. 107)
Asymmetric unit:
Dy 0.0000 0.0000 0.0000
Y 0.0000 0.0000 0.7096
H 0.0000 0.0000 0.1832

Compound: SrCeBeO4
Source: the Alexandria database
Functional: PBE
Structure: optimized geometry

Cell lengths 5.3206, 5.3781, 6.8518 Å; angles 90.00, 107.64, 90.00 degrees
Space group P2_1/m (No. 11)
Asymmetric unit:
Sr 0.2192 0.2500 0.4295
Ce 0.2704 0.2500 0.9510
Be 0.2719 0.7500 0.1874
O 0.0731 0.7500 0.3326
O 0.0803 0.7500 0.9424
O 0.4725 0.5137 0.2200

energy relative to the elements, uncorrected	-2.9821	eV/atom

Compound: CaLaTb2Y4
Source: the Alexandria database
Functional: PBE
Structure: optimized geometry

Cell lengths 13.8436, 13.4596, 6.8830 Å; angles 90.00, 119.72, 90.00 degrees
Space group C2/c (No. 15)
Asymmetric unit:
Ca 0.0000 0.0000 0.0000
La 0.2500 0.2500 0.0000
Tb 0.0000 0.5000 0.0000
Tb 0.2500 0.2500 0.5000
Y 0.9996 0.2537 0.0029
Y 0.2356 0.4975 0.4822

formation energy	418.9	meV/atom

no.,magnetic moment (μB per cell),E_tot (eV for the cell shown)
1,0.0,-45.6
2,0.0,-29.5
3,0.0,-104.1
4,5.2,-154.8